[1]
Here is a geometry-optimized SmCoNi2H8 structure from Alexandria via LeMat-Bulk. Energies are from PBE.

Calculated values
Uncorrected energy in eV/f.u.: -52.561
Total magnetic moment in μB per formula unit: 0.00
Space group: R-3, No. 148

Lattice parameters (Å, degrees): 4.4009 4.4009 5.8659 67.97 67.97 60.00
Sites, in units of the cell vectors:
Sm 0.5000 0.5000 0.5000
Co 0.0000 0.0000 0.0000
Ni 0.2920 0.2920 0.1240
Ni 0.7080 0.7080 0.8760
H 0.1919 0.1919 0.4242
H 0.6555 0.2895 0.1462
H 0.8081 0.8081 0.5758
H 0.9088 0.6555 0.1462
H 0.0912 0.3445 0.8538
H 0.2895 0.9088 0.1462
H 0.7105 0.0912 0.8538
H 0.3445 0.7105 0.8538


[2]
Here is a geometry-optimized TaTe4Mo structure from Alexandria via LeMat-Bulk. Energies are from PBE.

Calculated values
E above lowest polymorph in meV/atom: 210
Total magnetic moment in μB per formula unit: 0.37
Space group: C2/c, No. 15
Formation energy from raw total energies in eV/f.u.: -0.09

Lattice parameters (Å, degrees): 6.3929 6.4221 10.8354 99.90 99.78 114.96
Sites, in units of the cell vectors:
Ta 0.3234 0.5734 0.1467
Ta 0.6766 0.4266 0.8533
Te 0.2518 0.1682 0.6678
Te 0.0401 0.8000 0.0671
Te 0.0839 0.5003 0.3322
Te 0.4730 0.7330 0.9329
Te 0.7482 0.8318 0.3322
Te 0.9161 0.4997 0.6678
Te 0.9599 0.2000 0.9329
Te 0.5270 0.2670 0.0671
Mo 0.8261 0.0761 0.1521
Mo 0.1739 0.9239 0.8479


[3]
Here is a geometry-optimized Na2AuN structure from Alexandria via LeMat-Bulk. Energies are from PBE.

Calculated values
Total magnetic moment in μB per formula unit: 0.00
Space group: I-42d, No. 122
Formation energy from raw total energies in eV/f.u.: 0.55

Lattice parameters (Å, degrees): 9.8160 9.8160 7.2305 47.25 47.25 90.00
Sites, in units of the cell vectors:
Na 0.3783 0.1250 0.2500
Na 0.3717 0.6250 0.2500
Na 0.3750 0.6217 0.7500
Na 0.8750 0.6283 0.7500
Au 0.0000 0.0000 0.0000
Au 0.7500 0.2500 0.5000
N 0.5000 0.5000 0.0000
N 0.2500 0.7500 0.5000